No. 1
BeN: relaxed, PBE.

Structure (CIF):
```
data_BeN
_space_group_name_H-M_alt 'P m -3 n'
_space_group_IT_number 223
_space_group_name_Hall '-P 4n 2 3'
_cell_length_a 4.831
_cell_length_b 4.831
_cell_length_c 4.831
_cell_angle_alpha 90.00
_cell_angle_beta 90.00
_cell_angle_gamma 90.00
loop_
_atom_site_label
_atom_site_fract_x
_atom_site_fract_y
_atom_site_fract_z
Be1 0.000 0.250 0.500
N1 0.000 0.500 0.250
```

Results
excess energy over the best structure of this formula in the dataset = 513 meV/atom
raw total energy = -6.075 eV/atom
energy relative to the elements, uncorrected = -49 meV per atom
M_tot = 0.7 μB/f.u.

No. 2
BeN: relaxed, PBE.

Structure (CIF):
```
data_BeN
_space_group_name_H-M_alt 'F m -3 m'
_space_group_IT_number 225
_space_group_name_Hall '-F 4 2 3'
_cell_length_a 3.730
_cell_length_b 3.730
_cell_length_c 3.730
_cell_angle_alpha 90.00
_cell_angle_beta 90.00
_cell_angle_gamma 90.00
loop_
_atom_site_label
_atom_site_fract_x
_atom_site_fract_y
_atom_site_fract_z
Be1 0.000 0.000 0.000
N1 0.000 0.000 0.500
```

Results
excess energy over the best structure of this formula in the dataset = 609 meV/atom
raw total energy = -5.979 eV/atom
energy relative to the elements, uncorrected = 46 meV per atom
M_tot = 0.3 μB/f.u.

No. 3
BeN: relaxed, PBE.

Structure (CIF):
```
data_BeN
_space_group_name_H-M_alt 'P 21 21 21'
_space_group_IT_number 19
_cell_length_a 4.328
_cell_length_b 5.227
_cell_length_c 5.572
_cell_angle_alpha 90.00
_cell_angle_beta 90.00
_cell_angle_gamma 90.00
loop_
_space_group_symop_operation_xyz
'x,y,z'
'-x+1/2,-y,z+1/2'
'x+1/2,-y+1/2,-z'
'-x,y+1/2,-z+1/2'
loop_
_atom_site_label
_atom_site_fract_x
_atom_site_fract_y
_atom_site_fract_z
Be1 0.155 0.116 0.170
Be2 0.246 0.625 0.953
N1 0.124 0.440 0.168
N2 0.145 0.059 0.481
```

Results
excess energy over the best structure of this formula in the dataset = 164 meV/atom
raw total energy = -6.424 eV/atom
energy relative to the elements, uncorrected = -399 meV per atom
M_tot = 0.0 μB/f.u.

No. 4
BeN: relaxed, PBE.

Structure (CIF):
```
data_BeN
_space_group_name_H-M_alt 'P m m n'
_space_group_IT_number 59
_cell_length_a 2.845
_cell_length_b 6.886
_cell_length_c 4.848
_cell_angle_alpha 90.00
_cell_angle_beta 90.00
_cell_angle_gamma 90.00
loop_
_space_group_symop_operation_xyz
'x,y,z'
'-x,-y,-z'
'-x+1/2,-y+1/2,z'
'x+1/2,y+1/2,-z'
'x+1/2,-y,-z'
'-x+1/2,y,z'
'-x,y+1/2,-z'
'x,-y+1/2,z'
loop_
_atom_site_label
_atom_site_fract_x
_atom_site_fract_y
_atom_site_fract_z
Be1 0.250 0.084 0.147
Be2 0.250 0.750 0.452
N1 0.250 0.250 0.388
N2 0.250 0.652 0.093
```

Results
excess energy over the best structure of this formula in the dataset = 153 meV/atom
raw total energy = -6.435 eV/atom
energy relative to the elements, uncorrected = -410 meV per atom
M_tot = 0.0 μB/f.u.

Repeat the second record exactly.
BeN: relaxed, PBE.

Structure (CIF):
```
data_BeN
_space_group_name_H-M_alt 'F m -3 m'
_space_group_IT_number 225
_space_group_name_Hall '-F 4 2 3'
_cell_length_a 3.730
_cell_length_b 3.730
_cell_length_c 3.730
_cell_angle_alpha 90.00
_cell_angle_beta 90.00
_cell_angle_gamma 90.00
loop_
_atom_site_label
_atom_site_fract_x
_atom_site_fract_y
_atom_site_fract_z
Be1 0.000 0.000 0.000
N1 0.000 0.000 0.500
```

Results
excess energy over the best structure of this formula in the dataset = 609 meV/atom
raw total energy = -5.979 eV/atom
energy relative to the elements, uncorrected = 46 meV per atom
M_tot = 0.3 μB/f.u.

What is the formula in the third record? BeN